Entry from Alexandria: a relaxed structure of CrWSe2Br (GGA-PBE).

a = 4.895 Å, b = 4.895 Å, c = 5.347 Å
α = 90.00°, β = 90.00°, γ = 90.00°
Sites, in units of the cell vectors:
W: 0.000 0.000 0.000
Cr: 0.500 0.500 0.500
Se: 0.500 0.000 0.000
Se: 0.000 0.500 0.000
Br: 0.000 0.000 0.500

Properties
formation energy from raw total energies = 0.557 eV per atom
distance to the lowest polymorph of the same formula = 0 meV/atom
space-group type = P4/mmm
E_tot = -5.687 eV/atom

Entry from Alexandria: a relaxed structure of Ca2Ni3Ge4Au (GGA-PBE).

a = 4.193 Å, b = 4.193 Å, c = 9.993 Å
α = 90.00°, β = 90.00°, γ = 90.00°
Sites, in units of the cell vectors:
Au: 0.500 0.500 0.500
Ge: 0.000 0.500 0.356
Ni: 0.500 0.000 0.880
Ni: 0.000 0.500 0.120
Ge: 0.500 0.500 0.000
Ge: 0.500 0.000 0.644
Ca: 0.000 0.500 0.756
Ca: 0.500 0.000 0.244
Ni: 0.000 0.000 0.500
Ge: 0.000 0.000 0.000

Properties
formation energy = -476 kJ/mol of formula units
space-group type = P-4m2
E_tot = -4.802 eV/atom